# Al2Ga2Ag | Alexandria | PBE | relaxed
data_Al2Ga2Ag
_space_group_name_H-M_alt 'R -3 m'
_space_group_IT_number 166
_space_group_name_Hall '-R 3 2"'
_cell_length_a 2.9308
_cell_length_b 2.9308
_cell_length_c 35.8907
_cell_angle_alpha 90.00
_cell_angle_beta 90.00
_cell_angle_gamma 120.00
loop_
_atom_site_label
_atom_site_type_symbol
_atom_site_fract_x
_atom_site_fract_y
_atom_site_fract_z
Al1 Al 0.0000 0.0000 0.1026
Ga1 Ga 0.0000 0.0000 0.3706
Ag1 Ag 0.0000 0.0000 0.5000
# * magnetization: 0.000 μB per formula unit
# * energy above the most stable polymorph in this dataset: 0.000 eV per atom
# * VASP energy: -48.84 eV for the cell shown
# * DFT formation energy: 0.11 eV per formula unit
# * crystal system: trigonal

# Al2GaAg3 | Alexandria | PBE | relaxed
data_Al2GaAg3
_space_group_name_H-M_alt 'P 1 21/m 1'
_space_group_IT_number 11
_cell_length_a 5.582
_cell_length_b 4.860
_cell_length_c 7.742
_cell_angle_alpha 90.00
_cell_angle_beta 100.73
_cell_angle_gamma 90.00
loop_
_space_group_symop_operation_xyz
'x,y,z'
'-x,-y,-z'
'-x,y+1/2,-z'
'x,-y+1/2,z'
loop_
_atom_site_label
_atom_site_type_symbol
_atom_site_fract_x
_atom_site_fract_y
_atom_site_fract_z
Al1 Al 0.023 0.250 0.116
Al2 Al 0.361 0.250 0.444
Ga1 Ga 0.207 0.250 0.778
Ag1 Ag 0.140 0.750 0.550
Ag2 Ag 0.287 0.750 0.213
Ag3 Ag 0.476 0.750 0.882
# * magnetization: 0.000 μB per formula unit
# * energy above the most stable polymorph in this dataset: 0.033 eV per atom
# * VASP energy: -38.37 eV for the cell shown
# * DFT formation energy: -0.12 eV per formula unit
# * crystal system: monoclinic

# AlGa2Ag4 | Alexandria | PBE | relaxed
data_AlGa2Ag4
_space_group_name_H-M_alt 'P 1'
_space_group_IT_number 1
_cell_length_a 5.514
_cell_length_b 7.356
_cell_length_c 7.388
_cell_angle_alpha 110.42
_cell_angle_beta 103.66
_cell_angle_gamma 104.96
loop_
_space_group_symop_operation_xyz
'x,y,z'
loop_
_atom_site_label
_atom_site_type_symbol
_atom_site_fract_x
_atom_site_fract_y
_atom_site_fract_z
Al1 Al 0.000 0.000 0.000
Al2 Al 0.293 0.758 0.396
Ga1 Ga 0.369 0.357 0.327
Ga2 Ga 0.461 0.921 0.134
Ga3 Ga 0.505 0.340 0.685
Ga4 Ga 0.981 0.459 0.621
Ag1 Ag 0.001 0.065 0.381
Ag2 Ag 0.288 0.030 0.771
Ag3 Ag 0.306 0.467 0.007
Ag4 Ag 0.509 0.719 0.748
Ag5 Ag 0.789 0.101 0.704
Ag6 Ag 0.793 0.301 0.156
Ag7 Ag 0.793 0.697 0.439
Ag8 Ag 0.885 0.647 0.047
# * magnetization: 0.000 μB per formula unit
# * energy above the most stable polymorph in this dataset: 0.032 eV per atom
# * VASP energy: -42.07 eV for the cell shown
# * DFT formation energy: 0.17 eV per formula unit
# * crystal system: triclinic

# Al3GaAg3 | Alexandria | PBE | relaxed
data_Al3GaAg3
_space_group_name_H-M_alt 'P 63/m'
_space_group_IT_number 176
_space_group_name_Hall '-P 6c'
_cell_length_a 7.4093
_cell_length_b 7.4093
_cell_length_c 5.0984
_cell_angle_alpha 90.00
_cell_angle_beta 90.00
_cell_angle_gamma 120.00
loop_
_atom_site_label
_atom_site_type_symbol
_atom_site_fract_x
_atom_site_fract_y
_atom_site_fract_z
Al1 Al 0.0433 0.2354 0.2500
Ga1 Ga 0.3333 0.6667 0.2500
Ag1 Ag 0.0872 0.4640 0.7500
# * magnetization: 0.000 μB per formula unit
# * VASP energy: -45.32 eV for the cell shown
# * DFT formation energy: 0.15 eV per formula unit
# * crystal system: hexagonal

# Al4GaAg2 | Alexandria | PBE | relaxed
data_Al4GaAg2
_space_group_name_H-M_alt 'R -3 m'
_space_group_IT_number 166
_space_group_name_Hall '-R 3 2"'
_cell_length_a 3.0225
_cell_length_b 3.0225
_cell_length_c 45.2791
_cell_angle_alpha 90.00
_cell_angle_beta 90.00
_cell_angle_gamma 120.00
loop_
_atom_site_label
_atom_site_type_symbol
_atom_site_fract_x
_atom_site_fract_y
_atom_site_fract_z
Al1 Al 0.0000 0.0000 0.1428
Al2 Al 0.0000 0.0000 0.2861
Ga1 Ga 0.0000 0.0000 0.0000
Ag1 Ag 0.0000 0.0000 0.4283
# * magnetization: 0.000 μB per formula unit
# * energy above the most stable polymorph in this dataset: 0.000 eV per atom
# * VASP energy: -71.43 eV for the cell shown
# * DFT formation energy: -0.11 eV per formula unit
# * crystal system: trigonal

# AlGa2Ag | Alexandria | PBE | relaxed
data_AlGa2Ag
_space_group_name_H-M_alt 'I -4 2 d'
_space_group_IT_number 122
_space_group_name_Hall 'I -4 2bw'
_cell_length_a 3.996
_cell_length_b 3.996
_cell_length_c 18.725
_cell_angle_alpha 90.00
_cell_angle_beta 90.00
_cell_angle_gamma 90.00
loop_
_atom_site_label
_atom_site_type_symbol
_atom_site_fract_x
_atom_site_fract_y
_atom_site_fract_z
Al1 Al 0.000 0.000 0.000
Ga1 Ga 0.246 0.250 0.125
Ag1 Ag 0.000 0.000 0.500
# * magnetization: 0.000 μB per formula unit
# * VASP energy: -49.30 eV for the cell shown
# * DFT formation energy: 0.32 eV per formula unit
# * crystal system: tetragonal

# AlGaAg2 | Alexandria | PBE | relaxed
data_AlGaAg2
_space_group_name_H-M_alt 'I -4 2 d'
_space_group_IT_number 122
_space_group_name_Hall 'I -4 2bw'
_cell_length_a 7.534
_cell_length_b 7.534
_cell_length_c 5.480
_cell_angle_alpha 90.00
_cell_angle_beta 90.00
_cell_angle_gamma 90.00
loop_
_atom_site_label
_atom_site_type_symbol
_atom_site_fract_x
_atom_site_fract_y
_atom_site_fract_z
Al1 Al 0.000 0.000 0.000
Ga1 Ga 0.000 0.000 0.500
Ag1 Ag 0.237 0.750 0.125
# * magnetization: 0.000 μB per formula unit
# * energy above the most stable polymorph in this dataset: 0.247 eV per atom
# * VASP energy: -46.68 eV for the cell shown
# * DFT formation energy: 0.80 eV per formula unit
# * crystal system: tetragonal

# Al5Ga5Ag2 | Alexandria | PBE | relaxed
data_Al5Ga5Ag2
_space_group_name_H-M_alt 'C 1 2/m 1'
_space_group_IT_number 12
_cell_length_a 12.399
_cell_length_b 4.923
_cell_length_c 7.531
_cell_angle_alpha 90.00
_cell_angle_beta 108.09
_cell_angle_gamma 90.00
loop_
_space_group_symop_operation_xyz
'x,y,z'
'-x,-y,-z'
'-x,y,-z'
'x,-y,z'
'x+1/2,y+1/2,z'
'-x+1/2,-y+1/2,-z'
'-x+1/2,y+1/2,-z'
'x+1/2,-y+1/2,z'
loop_
_atom_site_label
_atom_site_type_symbol
_atom_site_fract_x
_atom_site_fract_y
_atom_site_fract_z
Al1 Al 0.000 0.000 0.000
Al2 Al 0.085 0.000 0.403
Al3 Al 0.234 0.000 0.203
Ga1 Ga 0.000 0.500 0.500
Ga2 Ga 0.110 0.500 0.985
Ga3 Ga 0.188 0.500 0.372
Ag1 Ag 0.138 0.000 0.788
# * magnetization: 0.000 μB per formula unit
# * energy above the most stable polymorph in this dataset: 0.000 eV per atom
# * VASP energy: -77.67 eV for the cell shown
# * DFT formation energy: 0.71 eV per formula unit
# * crystal system: monoclinic

# Al4GaAg15 | Alexandria | PBE | relaxed
data_Al4GaAg15
_space_group_name_H-M_alt 'P 4/m m m'
_space_group_IT_number 123
_space_group_name_Hall '-P 4 2'
_cell_length_a 4.083
_cell_length_b 4.083
_cell_length_c 20.686
_cell_angle_alpha 90.00
_cell_angle_beta 90.00
_cell_angle_gamma 90.00
loop_
_atom_site_label
_atom_site_type_symbol
_atom_site_fract_x
_atom_site_fract_y
_atom_site_fract_z
Al1 Al 0.000 0.000 0.100
Al2 Al 0.000 0.000 0.299
Ga1 Ga 0.000 0.000 0.500
Ag1 Ag 0.000 0.500 0.000
Ag2 Ag 0.000 0.500 0.199
Ag3 Ag 0.000 0.500 0.398
Ag4 Ag 0.500 0.500 0.100
Ag5 Ag 0.500 0.500 0.299
Ag6 Ag 0.500 0.500 0.500
# * magnetization: 0.000 μB per formula unit
# * VASP energy: -61.30 eV for the cell shown
# * DFT formation energy: -0.54 eV per formula unit
# * crystal system: tetragonal

# Al2Ga3Ag | Alexandria | PBE | relaxed
data_Al2Ga3Ag
_space_group_name_H-M_alt 'C 1 2/m 1'
_space_group_IT_number 12
_cell_length_a 18.643
_cell_length_b 2.890
_cell_length_c 8.631
_cell_angle_alpha 90.00
_cell_angle_beta 111.49
_cell_angle_gamma 90.00
loop_
_space_group_symop_operation_xyz
'x,y,z'
'-x,-y,-z'
'-x,y,-z'
'x,-y,z'
'x+1/2,y+1/2,z'
'-x+1/2,-y+1/2,-z'
'-x+1/2,y+1/2,-z'
'x+1/2,-y+1/2,z'
loop_
_atom_site_label
_atom_site_type_symbol
_atom_site_fract_x
_atom_site_fract_y
_atom_site_fract_z
Al1 Al 0.071 0.000 0.136
Al2 Al 0.192 0.500 0.378
Ga1 Ga 0.056 0.500 0.435
Ga2 Ga 0.071 0.000 0.793
Ga3 Ga 0.191 0.500 0.708
Ag1 Ag 0.188 0.500 0.049
# * magnetization: 0.000 μB per formula unit
# * energy above the most stable polymorph in this dataset: 0.000 eV per atom
# * VASP energy: -76.82 eV for the cell shown
# * DFT formation energy: 0.21 eV per formula unit
# * crystal system: monoclinic